Below is PaFe4Si2 after structural relaxation, with properties calculated at the PBE level.

Properties
The crystal system is tetragonal. Its calculated volume is 14.004 A^3/atom. The uncorrected formation energy comes out at -0.222 eV/atom.

Cell: 3.524 3.524 8.278 Å, 102.29 102.29 90.00°
Atoms (fractional coordinates):
Pa1 0.000 0.000 0.000
Si1 0.361 0.361 0.723
Si2 0.639 0.639 0.277
Fe1 0.138 0.138 0.276
Fe2 0.750 0.250 0.500
Fe3 0.862 0.862 0.724
Fe4 0.250 0.750 0.500